i | ## LuTlCuAg (PBE-GGA)

Data for a relaxed LuTlCuAg crystal.

Structure (POSCAR):
```
LuTlCuAg
1.0
0.000 3.409 3.409
3.409 0.000 3.409
3.409 3.409 0.000
Lu Tl Cu Ag
1 1 1 1
direct
0.000 0.000 0.000
0.500 0.500 0.500
0.750 0.750 0.750
0.250 0.250 0.250
```

- Crystal system: cubic
- M_tot: 0.00 Bohr magnetons per cell

***

ii | ## LuTlCuAg (PBE-GGA)

Data for a relaxed LuTlCuAg crystal.

Structure (POSCAR):
```
LuTlCuAg
1.0
0.000 3.433 3.433
3.433 0.000 3.433
3.433 3.433 0.000
Lu Tl Cu Ag
1 1 1 1
direct
0.000 0.000 0.000
0.250 0.250 0.250
0.500 0.500 0.500
0.750 0.750 0.750
```

- Crystal system: cubic
- M_tot: 0.00 Bohr magnetons per cell

***

Which structure loses on stability? ii does.

***

i | ## CuNiAgPb (PBE-GGA)

Data for a relaxed CuNiAgPb crystal.

Structure (POSCAR):
```
CuNiAgPb
1.0
0.000 3.198 3.198
3.198 0.000 3.198
3.198 3.198 0.000
Cu Ni Ag Pb
1 1 1 1
direct
0.000 0.000 0.000
0.500 0.500 0.500
0.750 0.750 0.750
0.250 0.250 0.250
```

- Crystal system: cubic
- M_tot: 0.00 Bohr magnetons per cell

***

ii | ## CuNiAgPb (PBE-GGA)

Data for a relaxed CuNiAgPb crystal.

Structure (POSCAR):
```
CuNiAgPb
1.0
0.000 3.240 3.240
3.240 0.000 3.240
3.240 3.240 0.000
Cu Ni Ag Pb
1 1 1 1
direct
0.000 0.000 0.000
0.250 0.250 0.250
0.500 0.500 0.500
0.750 0.750 0.750
```

- Crystal system: cubic
- M_tot: 0.00 Bohr magnetons per cell

***

Which structure loses on stability? ii does.

***

i | ## CuSiNiAg (PBE-GGA)

Data for a relaxed CuSiNiAg crystal.

Structure (POSCAR):
```
CuSiNiAg
1.0
0.000 2.977 2.977
2.977 0.000 2.977
2.977 2.977 0.000
Cu Si Ni Ag
1 1 1 1
direct
0.000 0.000 0.000
0.750 0.750 0.750
0.500 0.500 0.500
0.250 0.250 0.250
```

- Crystal system: cubic
- M_tot: 0.00 Bohr magnetons per cell

***

ii | ## CuSiNiAg (PBE-GGA)

Data for a relaxed CuSiNiAg crystal.

Structure (POSCAR):
```
CuSiNiAg
1.0
0.000 2.985 2.985
2.985 0.000 2.985
2.985 2.985 0.000
Cu Si Ni Ag
1 1 1 1
direct
0.000 0.000 0.000
0.750 0.750 0.750
0.250 0.250 0.250
0.500 0.500 0.500
```

- Crystal system: cubic
- M_tot: 0.01 Bohr magnetons per cell

***

Which structure loses on stability? ii does.

***

i | ## CuNiAgW (PBE-GGA)

Data for a relaxed CuNiAgW crystal.

Structure (POSCAR):
```
CuNiAgW
1.0
0.000 3.044 3.044
3.044 0.000 3.044
3.044 3.044 0.000
Cu Ni Ag W
1 1 1 1
direct
0.000 0.000 0.000
0.250 0.250 0.250
0.750 0.750 0.750
0.500 0.500 0.500
```

- Crystal system: cubic
- M_tot: 0.00 Bohr magnetons per cell

***

ii | ## CuNiAgW (PBE-GGA)

Data for a relaxed CuNiAgW crystal.

Structure (POSCAR):
```
CuNiAgW
1.0
0.000 3.020 3.020
3.020 0.000 3.020
3.020 3.020 0.000
Cu Ni Ag W
1 1 1 1
direct
0.000 0.000 0.000
0.500 0.500 0.500
0.250 0.250 0.250
0.750 0.750 0.750
```

- Crystal system: cubic
- M_tot: 0.00 Bohr magnetons per cell

***

Which structure loses on stability? i does.

***

i | ## ZnCuNiAg (PBE-GGA)

Data for a relaxed ZnCuNiAg crystal.

Structure (POSCAR):
```
ZnCuNiAg
1.0
0.000 3.006 3.006
3.006 0.000 3.006
3.006 3.006 0.000
Zn Cu Ni Ag
1 1 1 1
direct
0.000 0.000 0.000
0.250 0.250 0.250
0.750 0.750 0.750
0.500 0.500 0.500
```

- Crystal system: cubic
- M_tot: 0.00 Bohr magnetons per cell

***

ii | ## ZnCuNiAg (PBE-GGA)

Data for a relaxed ZnCuNiAg crystal.

Structure (POSCAR):
```
ZnCuNiAg
1.0
0.000 3.007 3.007
3.007 0.000 3.007
3.007 3.007 0.000
Zn Cu Ni Ag
1 1 1 1
direct
0.000 0.000 0.000
0.250 0.250 0.250
0.500 0.500 0.500
0.750 0.750 0.750
```

- Crystal system: cubic
- M_tot: 0.00 Bohr magnetons per cell

***

Which structure loses on stability? ii does.

***

i | ## TaCuAgPb (PBE-GGA)

Data for a relaxed TaCuAgPb crystal.

Structure (POSCAR):
```
TaCuAgPb
1.0
0.000 3.349 3.349
3.349 0.000 3.349
3.349 3.349 0.000
Ta Cu Ag Pb
1 1 1 1
direct
0.000 0.000 0.000
0.500 0.500 0.500
0.750 0.750 0.750
0.250 0.250 0.250
```

- Crystal system: cubic
- M_tot: 0.79 Bohr magnetons per cell

***

ii | ## TaCuAgPb (PBE-GGA)

Data for a relaxed TaCuAgPb crystal.

Structure (POSCAR):
```
TaCuAgPb
1.0
0.000 3.352 3.352
3.352 0.000 3.352
3.352 3.352 0.000
Ta Cu Ag Pb
1 1 1 1
direct
0.000 0.000 0.000
0.750 0.750 0.750
0.250 0.250 0.250
0.500 0.500 0.500
```

- Crystal system: cubic
- M_tot: 0.84 Bohr magnetons per cell

***

Which structure loses on stability? ii does.

***

i | ## YCuAgPb (PBE-GGA)

Data for a relaxed YCuAgPb crystal.

Structure (POSCAR):
```
YCuAgPb
1.0
0.000 3.498 3.498
3.498 0.000 3.498
3.498 3.498 0.000
Y Cu Ag Pb
1 1 1 1
direct
0.000 0.000 0.000
0.750 0.750 0.750
0.250 0.250 0.250
0.500 0.500 0.500
```

- Crystal system: cubic
- M_tot: 0.00 Bohr magnetons per cell

***

ii | ## YCuAgPb (PBE-GGA)

Data for a relaxed YCuAgPb crystal.

Structure (POSCAR):
```
YCuAgPb
1.0
0.000 3.505 3.505
3.505 0.000 3.505
3.505 3.505 0.000
Y Cu Ag Pb
1 1 1 1
direct
0.000 0.000 0.000
0.500 0.500 0.500
0.750 0.750 0.750
0.250 0.250 0.250
```

- Crystal system: cubic
- M_tot: 0.00 Bohr magnetons per cell

***

Which structure loses on stability? ii does.

***

i | ## ZnCuAgPb (PBE-GGA)

Data for a relaxed ZnCuAgPb crystal.

Structure (POSCAR):
```
ZnCuAgPb
1.0
0.000 3.357 3.357
3.357 0.000 3.357
3.357 3.357 0.000
Zn Cu Ag Pb
1 1 1 1
direct
0.000 0.000 0.000
0.750 0.750 0.750
0.250 0.250 0.250
0.500 0.500 0.500
```

- Crystal system: cubic

***

ii | ## ZnCuAgPb (PBE-GGA)

Data for a relaxed ZnCuAgPb crystal.

Structure (POSCAR):
```
ZnCuAgPb
1.0
0.000 3.354 3.354
3.354 0.000 3.354
3.354 3.354 0.000
Zn Cu Ag Pb
1 1 1 1
direct
0.000 0.000 0.000
0.500 0.500 0.500
0.750 0.750 0.750
0.250 0.250 0.250
```

- Crystal system: cubic

***

Which structure loses on stability? i does.

***

i | ## ZrCuAgPb (PBE-GGA)

Data for a relaxed ZrCuAgPb crystal.

Structure (POSCAR):
```
ZrCuAgPb
1.0
0.000 3.421 3.421
3.421 0.000 3.421
3.421 3.421 0.000
Zr Cu Ag Pb
1 1 1 1
direct
0.000 0.000 0.000
0.500 0.500 0.500
0.750 0.750 0.750
0.250 0.250 0.250
```

- Crystal system: cubic
- M_tot: 0.00 Bohr magnetons per cell

***

ii | ## ZrCuAgPb (PBE-GGA)

Data for a relaxed ZrCuAgPb crystal.

Structure (POSCAR):
```
ZrCuAgPb
1.0
0.000 3.408 3.408
3.408 0.000 3.408
3.408 3.408 0.000
Zr Cu Ag Pb
1 1 1 1
direct
0.000 0.000 0.000
0.750 0.750 0.750
0.250 0.250 0.250
0.500 0.500 0.500
```

- Crystal system: cubic
- M_tot: 0.00 Bohr magnetons per cell

***

Which structure loses on stability? i does.

***

i | ## CuAg2Pd2 (PBE-GGA)

Data for a relaxed CuAg2Pd2 crystal.

Structure (POSCAR):
```
CuAg2Pd2
1.0
-1.860 1.860 6.376
1.860 -1.860 6.376
1.860 1.860 -6.376
Cu Ag Pd
1 2 2
direct
0.000 0.000 0.000
0.402 0.402 0.000
0.598 0.598 0.000
0.250 0.750 0.500
0.750 0.250 0.500
```

- Crystal system: tetragonal

***

ii | ## CuAg2Pd2 (PBE-GGA)

Data for a relaxed CuAg2Pd2 crystal.

Structure (POSCAR):
```
CuAg2Pd2
1.0
-1.850 1.850 6.645
1.850 -1.850 6.645
1.850 1.850 -6.645
Cu Ag Pd
1 2 2
direct
0.000 0.000 0.000
0.250 0.750 0.500
0.750 0.250 0.500
0.404 0.404 0.000
0.596 0.596 0.000
```

- Crystal system: tetragonal

***

Which structure loses on stability? i does.

***

i | ## Cu2AgPd2 (PBE-GGA)

Data for a relaxed Cu2AgPd2 crystal.

Structure (POSCAR):
```
Cu2AgPd2
1.0
-1.826 1.826 5.885
1.826 -1.826 5.885
1.826 1.826 -5.885
Cu Ag Pd
2 1 2
direct
0.250 0.750 0.500
0.750 0.250 0.500
0.000 0.000 0.000
0.392 0.392 0.000
0.608 0.608 0.000
```

- Crystal system: tetragonal

***

ii | ## Cu2AgPd2 (PBE-GGA)

Data for a relaxed Cu2AgPd2 crystal.

Structure (POSCAR):
```
Cu2AgPd2
1.0
-1.891 1.891 5.628
1.891 -1.891 5.628
1.891 1.891 -5.628
Cu Ag Pd
2 1 2
direct
0.101 0.101 0.000
0.899 0.899 0.000
0.500 0.500 0.000
0.250 0.750 0.500
0.750 0.250 0.500
```

- Crystal system: tetragonal

***

Which structure loses on stability? ii does.

***

i | ## CuAgPdW (PBE-GGA)

Data for a relaxed CuAgPdW crystal.

Structure (POSCAR):
```
CuAgPdW
1.0
0.000 3.125 3.125
3.125 0.000 3.125
3.125 3.125 0.000
Cu Ag Pd W
1 1 1 1
direct
0.000 0.000 0.000
0.750 0.750 0.750
0.250 0.250 0.250
0.500 0.500 0.500
```

- Crystal system: cubic
- M_tot: 0.01 Bohr magnetons per cell

***

ii | ## CuAgPdW (PBE-GGA)

Data for a relaxed CuAgPdW crystal.

Structure (POSCAR):
```
CuAgPdW
1.0
0.000 3.121 3.121
3.121 0.000 3.121
3.121 3.121 0.000
Cu Ag Pd W
1 1 1 1
direct
0.000 0.000 0.000
0.250 0.250 0.250
0.500 0.500 0.500
0.750 0.750 0.750
```

- Crystal system: cubic
- M_tot: 0.01 Bohr magnetons per cell

***

Which structure loses on stability? i does.

***

i | ## PmCuAg (PBE-GGA)

Data for a relaxed PmCuAg crystal.

Structure (POSCAR):
```
PmCuAg
1.0
5.083 -2.069 0.000
5.083 2.069 0.000
-4.139 0.000 6.013
Pm Cu Ag
2 2 2
direct
0.057 0.057 0.302
0.943 0.943 0.698
0.360 0.360 0.332
0.640 0.640 0.668
0.323 0.323 0.914
0.677 0.677 0.086
```

- Crystal system: monoclinic
- M_tot: 0.00 Bohr magnetons per cell

***

ii | ## PmCuAg (PBE-GGA)

Data for a relaxed PmCuAg crystal.

Structure (POSCAR):
```
PmCuAg
1.0
0.000 3.272 3.272
3.272 0.000 3.272
3.272 3.272 0.000
Pm Cu Ag
1 1 1
direct
0.000 0.000 0.000
0.750 0.750 0.750
0.500 0.500 0.500
```

- Crystal system: cubic
- M_tot: 0.00 Bohr magnetons per cell

***

Which structure loses on stability? ii does.

***

i | ## PrCuAg (PBE-GGA)

Data for a relaxed PrCuAg crystal.

Structure (POSCAR):
```
PrCuAg
1.0
5.315 -2.266 0.000
5.315 2.266 0.000
-4.711 0.000 5.499
Pr Cu Ag
2 2 2
direct
0.040 0.040 0.291
0.960 0.960 0.709
0.348 0.348 0.313
0.652 0.652 0.687
0.326 0.326 0.878
0.674 0.674 0.122
```

- Crystal system: monoclinic
- M_tot: 0.01 Bohr magnetons per cell

***

ii | ## PrCuAg (PBE-GGA)

Data for a relaxed PrCuAg crystal.

Structure (POSCAR):
```
PrCuAg
1.0
-2.298 3.625 3.962
2.298 -3.625 3.962
2.298 3.625 -3.962
Pr Cu Ag
2 2 2
direct
0.000 0.000 0.000
0.568 0.068 0.500
0.404 0.699 0.705
0.994 0.699 0.295
0.156 0.369 0.788
0.581 0.369 0.212
```

- Crystal system: orthorhombic
- M_tot: 0.01 Bohr magnetons per cell

***

Which structure loses on stability? ii does.